No. 1
The following is a DFT calculation (PBE-GGA) of crystalline Li3Ho5S8 at its relaxed geometry.

Geometry as CIF:
```
data_Li3Ho5S8
_cell_length_a 7.7250
_cell_length_b 7.7250
_cell_length_c 18.7746
_cell_angle_alpha 90.00
_cell_angle_beta 90.00
_cell_angle_gamma 120.00
_space_group_name_H-M_alt 'R -3 m'
_space_group_IT_number 166
_space_group_name_Hall '-R 3 2"'
loop_
_atom_site_label
_atom_site_type_symbol
_atom_site_fract_x
_atom_site_fract_y
_atom_site_fract_z
Li1 Li 0.0000 0.5000 0.0000
Ho1 Ho 0.0000 0.0000 0.0000
Ho2 Ho 0.0000 0.0000 0.5000
Ho3 Ho 0.0000 0.5000 0.5000
S1 S 0.0000 0.0000 0.2503
S2 S 0.0031 0.5015 0.2516
```

Results
For the formation energy without anion corrections, the calculation gives -2926 kJ/mol of formula units. The calculation puts the total energy at -5.7487 eV/atom.


No. 2
The following is a DFT calculation (PBE-GGA) of crystalline La2ThSe2S2 at its relaxed geometry.

Geometry as CIF:
```
data_La2ThSe2S2
_cell_length_a 5.333
_cell_length_b 5.333
_cell_length_c 15.123
_cell_angle_alpha 90.00
_cell_angle_beta 90.00
_cell_angle_gamma 90.00
_space_group_name_H-M_alt 'I 4/m m m'
_space_group_IT_number 139
_space_group_name_Hall '-I 4 2'
loop_
_atom_site_label
_atom_site_type_symbol
_atom_site_fract_x
_atom_site_fract_y
_atom_site_fract_z
La1 La 0.000 0.000 0.119
Th1 Th 0.000 0.000 0.500
Se1 Se 0.000 0.000 0.311
S1 S 0.000 0.500 0.000
```

Results
For the formation energy without anion corrections, the calculation gives -1092 kJ/mol of formula units. The calculation puts the total energy at -6.2595 eV/atom.


No. 3
The following is a DFT calculation (PBE-GGA) of crystalline SrTcNiSb2 at its relaxed geometry.

Geometry as CIF:
```
data_SrTcNiSb2
_cell_length_a 4.955
_cell_length_b 4.955
_cell_length_c 5.141
_cell_angle_alpha 90.00
_cell_angle_beta 90.00
_cell_angle_gamma 90.00
_space_group_name_H-M_alt 'P 4/m m m'
_space_group_IT_number 123
_space_group_name_Hall '-P 4 2'
loop_
_atom_site_label
_atom_site_type_symbol
_atom_site_fract_x
_atom_site_fract_y
_atom_site_fract_z
Sr1 Sr 0.000 0.000 0.000
Tc1 Tc 0.500 0.500 0.000
Ni1 Ni 0.000 0.000 0.500
Sb1 Sb 0.000 0.500 0.500
```

Results
For the formation energy without anion corrections, the calculation gives 287 kJ/mol of formula units. The calculation puts the total energy at -4.6197 eV/atom.


No. 4
The following is a DFT calculation (PBE-GGA) of crystalline Pu2Ga7Cu12 at its relaxed geometry.

Geometry as CIF:
```
data_Pu2Ga7Cu12
_cell_length_a 9.7909
_cell_length_b 9.7909
_cell_length_c 3.9459
_cell_angle_alpha 90.00
_cell_angle_beta 90.00
_cell_angle_gamma 120.00
_space_group_name_H-M_alt 'P -3'
_space_group_IT_number 147
_space_group_name_Hall '-P 3'
loop_
_atom_site_label
_atom_site_type_symbol
_atom_site_fract_x
_atom_site_fract_y
_atom_site_fract_z
Pu1 Pu 0.3333 0.6667 0.2391
Ga1 Ga 0.0000 0.0000 0.5000
Ga2 Ga 0.1129 0.7039 0.7341
Cu1 Cu 0.0552 0.4282 0.7621
Cu2 Cu 0.1253 0.2624 0.2251
```

Results
The value obtained for the formation enthalpy at 0 K is -189 kJ/mol of formula units. The calculation puts the total energy at -4.8080 eV/atom.


No. 5
The following is a DFT calculation (PBE-GGA) of crystalline Sr2Al4Ge3Au at its relaxed geometry.

Geometry as CIF:
```
data_Sr2Al4Ge3Au
_cell_length_a 4.609
_cell_length_b 4.609
_cell_length_c 10.382
_cell_angle_alpha 90.00
_cell_angle_beta 90.00
_cell_angle_gamma 90.00
_space_group_name_H-M_alt 'P -4 m 2'
_space_group_IT_number 115
_space_group_name_Hall 'P -4 -2'
loop_
_atom_site_label
_atom_site_type_symbol
_atom_site_fract_x
_atom_site_fract_y
_atom_site_fract_z
Sr1 Sr 0.000 0.500 0.242
Al1 Al 0.000 0.000 0.500
Al2 Al 0.000 0.500 0.881
Al3 Al 0.500 0.500 0.500
Ge1 Ge 0.000 0.000 0.000
Ge2 Ge 0.000 0.500 0.629
Au1 Au 0.500 0.500 0.000
```

Results
The value obtained for the formation enthalpy at 0 K is -380 kJ/mol of formula units. The calculation puts the total energy at -3.9403 eV/atom.


No. 6
The following is a DFT calculation (PBE-GGA) of crystalline CaEuErLu at its relaxed geometry.

Geometry as CIF:
```
data_CaEuErLu
_cell_length_a 8.188
_cell_length_b 8.188
_cell_length_c 8.188
_cell_angle_alpha 90.00
_cell_angle_beta 90.00
_cell_angle_gamma 90.00
_space_group_name_H-M_alt 'F -4 3 m'
_space_group_IT_number 216
_space_group_name_Hall 'F -4 2 3'
loop_
_atom_site_label
_atom_site_type_symbol
_atom_site_fract_x
_atom_site_fract_y
_atom_site_fract_z
Ca1 Ca 0.000 0.000 0.000
Eu1 Eu 0.250 0.250 0.750
Er1 Er 0.250 0.250 0.250
Lu1 Lu 0.000 0.000 0.500
```

Results
The value obtained for the formation enthalpy at 0 K is 65 kJ/mol of formula units. The calculation puts the total energy at -5.1721 eV/atom.


No. 7
The following is a DFT calculation (PBE-GGA) of crystalline Np2Tl2S5 at its relaxed geometry.

Geometry as CIF:
```
data_Np2Tl2S5
_cell_length_a 15.863
_cell_length_b 7.527
_cell_length_c 7.529
_cell_angle_alpha 90.00
_cell_angle_beta 90.00
_cell_angle_gamma 90.00
_space_group_name_H-M_alt 'C m c e'
_space_group_IT_number 64
_space_group_name_Hall '-C 2ac 2'
loop_
_atom_site_label
_atom_site_type_symbol
_atom_site_fract_x
_atom_site_fract_y
_atom_site_fract_z
Np1 Np 0.000 0.162 0.162
Tl1 Tl 0.199 0.000 0.500
S1 S 0.000 0.000 0.500
S2 S 0.107 0.145 0.855
```

Results
For the formation energy without anion corrections, the calculation gives -857 kJ/mol of formula units. The calculation puts the total energy at -6.6810 eV/atom.


No. 8
The following is a DFT calculation (PBE-GGA) of crystalline Pm3Ho4Sb4 at its relaxed geometry.

Geometry as CIF:
```
data_Pm3Ho4Sb4
_cell_length_a 11.204
_cell_length_b 4.310
_cell_length_c 13.849
_cell_angle_alpha 90.00
_cell_angle_beta 90.00
_cell_angle_gamma 90.00
_space_group_name_H-M_alt 'A m m 2'
_space_group_IT_number 38
_space_group_name_Hall 'A 2 -2'
loop_
_atom_site_label
_atom_site_type_symbol
_atom_site_fract_x
_atom_site_fract_y
_atom_site_fract_z
Pm1 Pm 0.000 0.000 0.000
Pm2 Pm 0.350 0.000 0.069
Ho1 Ho 0.000 0.000 0.298
Ho2 Ho 0.244 0.000 0.771
Ho3 Ho 0.500 0.000 0.364
Sb1 Sb 0.000 0.000 0.656
Sb2 Sb 0.219 0.000 0.433
Sb3 Sb 0.500 0.000 0.695
```

Results
For the formation energy without anion corrections, the calculation gives -770 kJ/mol of formula units. The calculation puts the total energy at -5.1849 eV/atom.


No. 9
The following is a DFT calculation (PBE-GGA) of crystalline AgRuCl at its relaxed geometry.

Geometry as CIF:
```
data_AgRuCl
_cell_length_a 2.937
_cell_length_b 5.260
_cell_length_c 13.825
_cell_angle_alpha 90.00
_cell_angle_beta 90.00
_cell_angle_gamma 90.00
_space_group_name_H-M_alt 'F m m 2'
_space_group_IT_number 42
_space_group_name_Hall 'F 2 -2'
loop_
_atom_site_label
_atom_site_type_symbol
_atom_site_fract_x
_atom_site_fract_y
_atom_site_fract_z
Ag1 Ag 0.000 0.000 0.000
Ru1 Ru 0.000 0.000 0.330
Cl1 Cl 0.000 0.000 0.698
```

Results
For the formation energy without anion corrections, the calculation gives 140 kJ/mol of formula units. The polymorph energy (0 for the lowest one) is 58 meV per atom. The calculation puts the total energy at -4.1737 eV/atom.


No. 10
The following is a DFT calculation (PBE-GGA) of crystalline BaCdRu2 at its relaxed geometry.

Geometry as CIF:
```
data_BaCdRu2
_cell_length_a 4.4433
_cell_length_b 4.4433
_cell_length_c 17.9700
_cell_angle_alpha 90.00
_cell_angle_beta 90.00
_cell_angle_gamma 120.00
_space_group_name_H-M_alt 'R 3 m'
_space_group_IT_number 160
_space_group_name_Hall 'R 3 -2"'
loop_
_atom_site_label
_atom_site_type_symbol
_atom_site_fract_x
_atom_site_fract_y
_atom_site_fract_z
Ba1 Ba 0.0000 0.0000 0.0000
Cd1 Cd 0.0000 0.0000 0.1939
Ru1 Ru 0.0000 0.0000 0.4697
Ru2 Ru 0.0000 0.0000 0.8004
```

Results
The value obtained for the formation enthalpy at 0 K is 91 kJ/mol of formula units. The calculation puts the total energy at -5.1124 eV/atom.


No. 11
The following is a DFT calculation (PBE-GGA) of crystalline Pa2BrN at its relaxed geometry.

Geometry as CIF:
```
data_Pa2BrN
_cell_length_a 3.196
_cell_length_b 3.196
_cell_length_c 7.434
_cell_angle_alpha 90.00
_cell_angle_beta 90.00
_cell_angle_gamma 90.00
_space_group_name_H-M_alt 'P 4/m m m'
_space_group_IT_number 123
_space_group_name_Hall '-P 4 2'
loop_
_atom_site_label
_atom_site_type_symbol
_atom_site_fract_x
_atom_site_fract_y
_atom_site_fract_z
Pa1 Pa 0.000 0.000 0.193
Br1 Br 0.500 0.500 0.500
N1 N 0.500 0.500 0.000
```

Results
For the formation energy without anion corrections, the calculation gives -110 kJ/mol of formula units. The polymorph energy (0 for the lowest one) is 810 meV per atom. The calculation puts the total energy at -7.5317 eV/atom.


No. 12
The following is a DFT calculation (PBE-GGA) of crystalline BaMn2In at its relaxed geometry.

Geometry as CIF:
```
data_BaMn2In
_cell_length_a 3.402
_cell_length_b 3.903
_cell_length_c 7.514
_cell_angle_alpha 90.00
_cell_angle_beta 90.00
_cell_angle_gamma 90.00
_space_group_name_H-M_alt 'P m m m'
_space_group_IT_number 47
_space_group_name_Hall '-P 2 2'
loop_
_atom_site_label
_atom_site_type_symbol
_atom_site_fract_x
_atom_site_fract_y
_atom_site_fract_z
Ba1 Ba 0.000 0.000 0.000
Mn1 Mn 0.500 0.500 0.327
In1 In 0.000 0.000 0.500
```

Results
The value obtained for the formation enthalpy at 0 K is 187 kJ/mol of formula units. The calculation puts the total energy at -5.2644 eV/atom.


No. 13
The following is a DFT calculation (PBE-GGA) of crystalline AlTl2Hg at its relaxed geometry.

Geometry as CIF:
```
data_AlTl2Hg
_cell_length_a 3.5597
_cell_length_b 3.5597
_cell_length_c 28.8310
_cell_angle_alpha 90.00
_cell_angle_beta 90.00
_cell_angle_gamma 120.00
_space_group_name_H-M_alt 'R 3 m'
_space_group_IT_number 160
_space_group_name_Hall 'R 3 -2"'
loop_
_atom_site_label
_atom_site_type_symbol
_atom_site_fract_x
_atom_site_fract_y
_atom_site_fract_z
Al1 Al 0.0000 0.0000 0.0000
Tl1 Tl 0.0000 0.0000 0.2525
Tl2 Tl 0.0000 0.0000 0.4890
Hg1 Hg 0.0000 0.0000 0.7340
```

Results
The value obtained for the formation enthalpy at 0 K is 49 kJ/mol of formula units. The polymorph energy (0 for the lowest one) is 12 meV per atom. The calculation puts the total energy at -2.0672 eV/atom.


No. 14
The following is a DFT calculation (PBE-GGA) of crystalline ZnH2BrN at its relaxed geometry.

Geometry as CIF:
```
data_ZnH2BrN
_cell_length_a 3.366
_cell_length_b 11.345
_cell_length_c 6.462
_cell_angle_alpha 90.00
_cell_angle_beta 90.00
_cell_angle_gamma 90.00
_space_group_name_H-M_alt 'C m c m'
_space_group_IT_number 63
_space_group_name_Hall '-C 2c 2'
loop_
_atom_site_label
_atom_site_type_symbol
_atom_site_fract_x
_atom_site_fract_y
_atom_site_fract_z
Zn1 Zn 0.000 0.039 0.250
H1 H 0.000 0.412 0.038
Br1 Br 0.000 0.251 0.250
N1 N 0.000 0.500 0.000
```

Results
The calculation puts the total energy at -3.6574 eV/atom.


No. 15
The following is a DFT calculation (PBE-GGA) of crystalline GaMoBr at its relaxed geometry.

Geometry as CIF:
```
data_GaMoBr
_cell_length_a 3.486
_cell_length_b 4.115
_cell_length_c 10.132
_cell_angle_alpha 80.53
_cell_angle_beta 80.22
_cell_angle_gamma 89.99
_space_group_name_H-M_alt 'P -1'
_space_group_IT_number 2
_space_group_name_Hall '-P 1'
loop_
_atom_site_label
_atom_site_type_symbol
_atom_site_fract_x
_atom_site_fract_y
_atom_site_fract_z
Ga1 Ga 0.061 0.360 0.376
Mo1 Mo 0.456 0.158 0.589
Br1 Br 0.335 0.827 0.836
```

Results
For the formation energy without anion corrections, the calculation gives -26 kJ/mol of formula units. The polymorph energy (0 for the lowest one) is 39 meV per atom. The calculation puts the total energy at -5.2683 eV/atom.


No. 16
The following is a DFT calculation (PBE-GGA) of crystalline TlAgSe3 at its relaxed geometry.

Geometry as CIF:
```
data_TlAgSe3
_cell_length_a 5.193
_cell_length_b 5.193
_cell_length_c 5.193
_cell_angle_alpha 90.00
_cell_angle_beta 90.00
_cell_angle_gamma 90.00
_space_group_name_H-M_alt 'P m -3 m'
_space_group_IT_number 221
_space_group_name_Hall '-P 4 2 3'
loop_
_atom_site_label
_atom_site_type_symbol
_atom_site_fract_x
_atom_site_fract_y
_atom_site_fract_z
Tl1 Tl 0.000 0.000 0.000
Ag1 Ag 0.500 0.500 0.500
Se1 Se 0.000 0.500 0.500
```

Results
For the formation energy without anion corrections, the calculation gives 142 kJ/mol of formula units. The polymorph energy (0 for the lowest one) is 362 meV per atom. The calculation puts the total energy at -2.8403 eV/atom.


No. 17
The following is a DFT calculation (PBE-GGA) of crystalline CeHfPd at its relaxed geometry.

Geometry as CIF:
```
data_CeHfPd
_cell_length_a 4.6957
_cell_length_b 4.6957
_cell_length_c 3.5871
_cell_angle_alpha 90.00
_cell_angle_beta 90.00
_cell_angle_gamma 120.00
_space_group_name_H-M_alt 'P 3 m 1'
_space_group_IT_number 156
_space_group_name_Hall 'P 3 -2"'
loop_
_atom_site_label
_atom_site_type_symbol
_atom_site_fract_x
_atom_site_fract_y
_atom_site_fract_z
Ce1 Ce 0.0000 0.0000 0.0000
Hf1 Hf 0.6667 0.3333 0.5389
Pd1 Pd 0.3333 0.6667 0.4319
```

Results
The value obtained for the formation enthalpy at 0 K is -50 kJ/mol of formula units. The polymorph energy (0 for the lowest one) is 207 meV per atom. The calculation puts the total energy at -7.1985 eV/atom.


No. 18
The following is a DFT calculation (PBE-GGA) of crystalline SrScBr2 at its relaxed geometry.

Geometry as CIF:
```
data_SrScBr2
_cell_length_a 6.554
_cell_length_b 6.554
_cell_length_c 13.517
_cell_angle_alpha 90.00
_cell_angle_beta 90.00
_cell_angle_gamma 90.00
_space_group_name_H-M_alt 'I -4 2 d'
_space_group_IT_number 122
_space_group_name_Hall 'I -4 2bw'
loop_
_atom_site_label
_atom_site_type_symbol
_atom_site_fract_x
_atom_site_fract_y
_atom_site_fract_z
Sr1 Sr 0.000 0.000 0.000
Sc1 Sc 0.000 0.000 0.500
Br1 Br 0.200 0.250 0.625
```

Results
For the formation energy without anion corrections, the calculation gives -316 kJ/mol of formula units. The polymorph energy (0 for the lowest one) is 297 meV per atom. The calculation puts the total energy at -3.6594 eV/atom.